# HoMn2GeC | the Alexandria database | PBE | optimized geometry
# Density of states at the Fermi level in states/eV/cell: 10.81
# Energy relative to the elements in eV per atom: -0.409
data_HoMn2GeC
_space_group_name_H-M_alt 'C m c m'
_space_group_IT_number 63
_space_group_name_Hall '-C 2c 2'
_cell_length_a 3.726
_cell_length_b 10.705
_cell_length_c 7.141
_cell_angle_alpha 90.00
_cell_angle_beta 90.00
_cell_angle_gamma 90.00
loop_
_atom_site_label
_atom_site_type_symbol
_atom_site_fract_x
_atom_site_fract_y
_atom_site_fract_z
Ho1 Ho 0.000 0.040 0.250
Mn1 Mn 0.000 0.335 0.061
Ge1 Ge 0.000 0.238 0.750
C1 C 0.000 0.500 0.000